[1]
CsLi3Pb4Cl12: relaxed, PBE.

ΔE_f (raw) (meV per atom): -1403.4
E_tot (eV/atom): -3.583

```
20
Lattice="9.170 0.000 0.000 -3.057 8.645 0.000 -3.057 -4.323 7.487" Properties=species:S:1:pos:R:3 pbc="T T T"
Cs 0.000 0.000 0.000
Li -3.057 2.161 3.744
Li 3.057 4.323 0.000
Li 3.057 -2.161 3.744
Pb 4.585 0.000 0.000
Pb 1.528 2.161 3.744
Pb -1.528 4.323 0.000
Pb -1.528 -2.161 3.744
Cl -0.074 6.536 1.203
Cl 3.130 -2.213 6.284
Cl 2.074 5.017 3.834
Cl 5.131 5.134 1.225
Cl 6.187 -0.013 2.428
Cl -0.982 2.817 2.428
Cl 2.983 2.097 1.225
Cl -3.130 4.335 5.059
Cl 0.982 -0.695 3.653
Cl -2.074 -0.811 6.262
Cl 4.039 1.506 5.059
Cl 0.074 2.226 6.262
```

[2]
CsLi2PmCl6: relaxed, PBE.

ΔE_f (raw) (meV per atom): -2049.7
E_tot (eV/atom): -4.101

```
10
Lattice="6.722 -0.001 0.006 3.360 5.816 0.007 3.361 1.943 8.376" Properties=species:S:1:pos:R:3 pbc="T T T"
Cs 10.081 5.817 4.629
Li 6.722 3.876 0.572
Li 10.076 5.815 0.312
Pm 3.361 1.938 0.436
Cl 5.666 1.941 1.892
Cl 5.575 5.754 1.897
Cl 8.924 3.931 1.898
Cl 7.871 5.883 7.360
Cl 7.881 1.891 7.352
Cl 4.416 3.878 7.355
```

[3]
CsLiPmCl5: relaxed, PBE.

ΔE_f (raw) (meV per atom): -2111.4
E_tot (eV/atom): -4.205

```
16
Lattice="-7.153 2.381 -2.105 -0.897 -4.486 6.351 4.557 8.600 3.614" Properties=species:S:1:pos:R:3 pbc="T T T"
Cs -1.892 0.007 4.369
Cs -1.600 6.488 3.491
Li -4.082 2.411 1.410
Li 0.589 4.085 6.450
Pm 2.279 4.300 1.807
Pm 0.000 0.000 0.000
Cl -0.188 -1.864 6.673
Cl -3.305 8.360 1.187
Cl -6.174 1.714 0.359
Cl 2.682 4.781 7.501
Cl -3.352 4.604 0.618
Cl -0.140 1.892 7.242
Cl -4.187 2.537 3.864
Cl 0.694 3.958 3.996
Cl -2.452 0.611 1.016
Cl -1.040 5.884 6.844
```

> Look up the ΔE_f (raw) of the third one.

-2111.4 meV per atom

> E_tot of number 1 (CsLi3Pb4Cl12)?

-3.583 eV/atom

> ΔE_f (raw) of number 1 (CsLi3Pb4Cl12)?

-1403.4 meV per atom